Tb3Dy8Sc4: relaxed, PBE.

Results
**Energy of formation from the pure elements**: 0.3851 eV per atom

Structure (CIF):
```
data_Tb3Dy8Sc4
_cell_length_a 13.029
_cell_length_b 11.848
_cell_length_c 6.593
_cell_angle_alpha 90.00
_cell_angle_beta 115.78
_cell_angle_gamma 90.00
_symmetry_space_group_name_H-M 'C 1 2/m 1'
_symmetry_Int_Tables_number 12
loop_
_symmetry_equiv_pos_as_xyz
'x,y,z'
'-x,-y,-z'
'-x,y,-z'
'x,-y,z'
'x+1/2,y+1/2,z'
'-x+1/2,-y+1/2,-z'
'-x+1/2,y+1/2,-z'
'x+1/2,-y+1/2,z'
loop_
_atom_site_label
_atom_site_type_symbol
_atom_site_fract_x
_atom_site_fract_y
_atom_site_fract_z
Tb1 Tb 0.000 0.000 0.000
Tb2 Tb 0.250 0.250 0.500
Dy1 Dy 0.000 0.205 0.500
Dy2 Dy 0.000 0.261 0.000
Dy3 Dy 0.203 0.000 0.662
Dy4 Dy 0.233 0.500 0.807
Sc1 Sc 0.000 0.500 0.000
Sc2 Sc 0.000 0.500 0.500
Sc3 Sc 0.250 0.250 0.000
```


CaSi3N: relaxed, PBE.

Results
**Polymorph energy (0 for the lowest one)**: 971 kJ/mol of formula units
**Raw formation energy**: 2.466 eV per atom

Structure (CIF):
```
data_CaSi3N
_cell_length_a 5.476
_cell_length_b 5.476
_cell_length_c 5.476
_cell_angle_alpha 90.00
_cell_angle_beta 90.00
_cell_angle_gamma 90.00
_symmetry_space_group_name_H-M 'P m -3 m'
_symmetry_Int_Tables_number 221
_symmetry_space_group_name_Hall '-P 4 2 3'
loop_
_atom_site_label
_atom_site_type_symbol
_atom_site_fract_x
_atom_site_fract_y
_atom_site_fract_z
Ca1 Ca 0.000 0.000 0.000
Si1 Si 0.000 0.000 0.500
N1 N 0.500 0.500 0.500
```


Eu2SN: relaxed, PBE.

Results
**Raw formation energy**: -1.465 eV per atom

Structure (CIF):
```
data_Eu2SN
_cell_length_a 3.8066
_cell_length_b 3.8066
_cell_length_c 19.4531
_cell_angle_alpha 90.00
_cell_angle_beta 90.00
_cell_angle_gamma 120.00
_symmetry_space_group_name_H-M 'R -3 m'
_symmetry_Int_Tables_number 166
_symmetry_space_group_name_Hall '-R 3 2"'
loop_
_atom_site_label
_atom_site_type_symbol
_atom_site_fract_x
_atom_site_fract_y
_atom_site_fract_z
Eu1 Eu 0.0000 0.0000 0.2379
S1 S 0.0000 0.0000 0.0000
N1 N 0.0000 0.0000 0.5000
```


Ba2TaPb: relaxed, PBE.

Results
**Energy of formation from the pure elements**: 0.6703 eV per atom

Structure (CIF):
```
data_Ba2TaPb
_cell_length_a 5.760
_cell_length_b 5.760
_cell_length_c 8.126
_cell_angle_alpha 90.00
_cell_angle_beta 90.00
_cell_angle_gamma 90.00
_symmetry_space_group_name_H-M 'I -4 m 2'
_symmetry_Int_Tables_number 119
_symmetry_space_group_name_Hall 'I -4 -2'
loop_
_atom_site_label
_atom_site_type_symbol
_atom_site_fract_x
_atom_site_fract_y
_atom_site_fract_z
Ba1 Ba 0.000 0.000 0.000
Ba2 Ba 0.000 0.500 0.250
Ta1 Ta 0.000 0.000 0.500
Pb1 Pb 0.000 0.500 0.750
```


MoRuPt4: relaxed, PBE.

Results
**Energy of formation from the pure elements**: 0.2830 eV per atom
**Polymorph energy (0 for the lowest one)**: 281 kJ/mol of formula units

Structure (CIF):
```
data_MoRuPt4
_cell_length_a 7.321
_cell_length_b 7.321
_cell_length_c 7.321
_cell_angle_alpha 90.00
_cell_angle_beta 90.00
_cell_angle_gamma 90.00
_symmetry_space_group_name_H-M 'F -4 3 m'
_symmetry_Int_Tables_number 216
_symmetry_space_group_name_Hall 'F -4 2 3'
loop_
_atom_site_label
_atom_site_type_symbol
_atom_site_fract_x
_atom_site_fract_y
_atom_site_fract_z
Mo1 Mo 0.000 0.000 0.000
Ru1 Ru 0.250 0.250 0.750
Pt1 Pt 0.125 0.125 0.375
```


KRuAu2: relaxed, PBE.

Results
**Energy of formation from the pure elements**: 0.7313 eV per atom
**Polymorph energy (0 for the lowest one)**: 159 kJ/mol of formula units

Structure (CIF):
```
data_KRuAu2
_cell_length_a 4.226
_cell_length_b 4.226
_cell_length_c 9.164
_cell_angle_alpha 90.00
_cell_angle_beta 90.00
_cell_angle_gamma 90.00
_symmetry_space_group_name_H-M 'I -4 m 2'
_symmetry_Int_Tables_number 119
_symmetry_space_group_name_Hall 'I -4 -2'
loop_
_atom_site_label
_atom_site_type_symbol
_atom_site_fract_x
_atom_site_fract_y
_atom_site_fract_z
K1 K 0.000 0.000 0.000
Ru1 Ru 0.000 0.500 0.750
Au1 Au 0.000 0.000 0.500
Au2 Au 0.000 0.500 0.250
```


In order of appearance, total energy = -4.684 -2.854 -9.715 -4.181 -7.095 -3.501 eV per atom.